No. 1
A plane-wave DFT calculation with GGA-PBE was carried out for a geometry-optimized ZrGaNO structure.

a b c (Å): 4.065 4.065 6.520
angles (deg): 90.00 90.00 90.00
Space group P4/nmm (No. 129, origin choice 2)
Inequivalent atoms, fractional coordinates:
Zr1 0.250 0.750 0.000 x2
Ga1 0.250 0.250 0.398 x2
N1 0.250 0.250 0.886 x2
O1 0.250 0.750 0.500 x2

Calculated values
Its energy above the most stable polymorph in this dataset is 0.382 eV/atom.



No. 2
A plane-wave DFT calculation with GGA-PBE was carried out for a geometry-optimized KPrCu structure.

a b c (Å): 7.276 7.276 7.276
angles (deg): 90.00 90.00 90.00
Space group F-43m (No. 216)
Inequivalent atoms, fractional coordinates:
K1 0.000 0.000 0.000 x4
Pr1 0.000 0.000 0.500 x4
Cu1 0.250 0.250 0.250 x4

Calculated values
Its energy above the most stable polymorph in this dataset is 0.000 eV/atom.



No. 3
A plane-wave DFT calculation with GGA-PBE was carried out for a geometry-optimized SrSmCuSeS2 structure.

a b c (Å): 4.018 13.394 10.725
angles (deg): 90.00 90.00 90.00
Space group Cmcm (No. 63)
Inequivalent atoms, fractional coordinates:
Sr1 0.000 0.237 0.250 x4
Sm1 0.000 0.000 0.000 x4
Cu1 0.000 0.472 0.750 x4
Se1 0.000 0.086 0.750 x4
S1 0.000 0.367 0.577 x8

Calculated values
The value obtained for the final energy is -5.267 eV per atom.



No. 4
A plane-wave DFT calculation with GGA-PBE was carried out for a geometry-optimized Zr2Co structure.

a b c (Å): 7.792 7.792 7.792
angles (deg): 90.00 90.00 90.00
Space group Fd-3m (No. 227, origin choice 2)
Inequivalent atoms, fractional coordinates:
Zr1 0.000 0.000 0.000 x16
Co1 0.125 0.125 0.625 x8

Calculated values
The value obtained for the final energy is -7.189 eV per atom.



No. 5
A plane-wave DFT calculation with GGA-PBE was carried out for a geometry-optimized FeBr3 structure.

a b c (Å): 11.028 6.351 9.019
angles (deg): 90.00 90.27 90.00
Space group C2 (No. 5)
Inequivalent atoms, fractional coordinates:
Fe1 0.000 0.000 0.000 x2
Fe2 0.166 0.499 0.664 x4
Br1 0.000 0.346 0.500 x2
Br2 0.007 0.679 0.819 x4
Br3 0.159 0.171 0.818 x4
Br4 0.162 0.153 0.180 x4
Br5 0.174 0.825 0.501 x4

Calculated values
The value obtained for the final energy is -3.565 eV per atom.



No. 6
A plane-wave DFT calculation with GGA-PBE was carried out for a geometry-optimized HoZrB structure.

a b c (Å): 6.136 6.136 6.136
angles (deg): 90.00 90.00 90.00
Space group F-43m (No. 216)
Inequivalent atoms, fractional coordinates:
Ho1 0.000 0.000 0.000 x4
Zr1 0.000 0.000 0.500 x4
B1 0.250 0.250 0.250 x4

Calculated values
Its energy above the most stable polymorph in this dataset is 0.000 eV/atom.